RbCuTe2I after structural relaxation. Source: Alexandria, functional PBE.

Summary:
Offset from the most stable computed form   1236 meV/atom
Space-group type   No. 123
Raw total energy   -8.0 eV per cell

Cell lengths 6.844, 6.844, 6.707 Å; angles 90.00, 90.00, 90.00 degrees
Site moments in Bohr magnetons follow the coordinates.
Fractional positions:
Rb: 0.000 0.000 0.000  0.02
I: 0.000 0.000 0.500  0.15
Cu: 0.500 0.500 0.500  -0.08
Te: 0.500 0.000 0.000  0.80
Te: 0.000 0.500 0.000  0.80

***

NdY3Ho12 after structural relaxation. Source: Alexandria, functional PBE.

Summary:
Formation energy   0.023 eV per atom
Space-group type   No. 123
Raw total energy   -78.7 eV per cell

Cell lengths 5.013, 5.013, 20.042 Å; angles 90.00, 90.00, 90.00 degrees
Fractional positions:
Ho: 0.500 0.500 0.500
Ho: 0.000 0.500 0.874
Ho: 0.500 0.000 0.375
Ho: 0.500 0.500 0.000
Ho: 0.500 0.000 0.126
Ho: 0.500 0.000 0.625
Ho: 0.500 0.500 0.251
Ho: 0.000 0.500 0.126
Ho: 0.000 0.500 0.375
Ho: 0.500 0.500 0.749
Ho: 0.000 0.500 0.625
Ho: 0.500 0.000 0.874
Y: 0.000 0.000 0.251
Y: 0.000 0.000 0.749
Y: 0.000 0.000 0.500
Nd: 0.000 0.000 0.000